{"formula": "Al2Hg", "functional": "GGA-PBE", "state": "relaxed", "cell": [[-1.484, 1.562, 6.517], [1.484, -1.562, 6.517], [1.484, 1.562, -6.517]], "species": ["Al", "Al", "Hg"], "fractional_positions": [[0.181, 0.181, 0.000], [0.819, 0.819, 0.000], [0.500, 0.000, 0.500]], "de_polymorph_ev_per_fu": 0.02}